The following is a DFT calculation (GGA+U) of Mn2HSeO after structural relaxation.

Output
V in Å³ per cell: 77
Excess energy over the best structure of this formula in the dataset in meV per atom: 52

Cell: 3.469 3.646 6.089 Å, 90.00 90.00 90.00°
Space group Pmm2 (No. 25)
Unique sites:
Mn  0.000  0.000  0.000 x1
Mn  0.500  0.500  0.373 x1
H  0.000  0.500  0.367 x1
Se  0.500  0.500  0.800 x1
O  0.500  0.000  0.224 x1